# TmIn2S4, optimized geometry, DFT PBE-GGA
data_TmIn2S4
_chemical_formula_sum 'Tm2 In4 S8'
_cell_length_a 8.0687
_cell_length_b 7.9537
_cell_length_c 7.9537
_cell_angle_alpha 58.63
_cell_angle_beta 59.52
_cell_angle_gamma 59.52
_symmetry_space_group_name_H-M 'P 1'
_symmetry_Int_Tables_number 1
loop_
_symmetry_equiv_pos_as_xyz
'x,y,z'
loop_
_atom_site_label
_atom_site_type_symbol
_atom_site_fract_x
_atom_site_fract_y
_atom_site_fract_z
_atom_site_occupancy
S1 S 0.7197 0.2588 0.7588 1
S2 S 0.2569 0.2583 0.2279 1
In1 In 0.1163 0.1337 0.6337 1
S3 S 0.7431 0.2721 0.2417 1
S4 S 0.7431 0.7417 0.7721 1
In2 In 0.5000 0.5000 0.5000 1
S5 S 0.2569 0.7279 0.7583 1
Tm1 Tm 0.5000 0.5000 0.0000 1
S6 S 0.7373 0.7412 0.2412 1
In3 In 0.5000 0.0000 0.0000 1
In4 In 0.8837 0.8663 0.3663 1
S7 S 0.2803 0.7412 0.2412 1
S8 S 0.2627 0.2588 0.7588 1
Tm2 Tm 0.0000 0.5000 0.0000 1
# ΔE_f (raw)	-1.015	eV per atom
# calculated volume	354.50	Å³/cell
# E above lowest polymorph	0	meV/atom